The following is a PBE+U calculation of a relaxed structure of AlMoW2O8, from the Alexandria database.

Results
* crystal system: triclinic
* E above lowest polymorph: 104.7 meV/atom
* total magnetization: 5.00 μB per cell

Lattice parameters (Å, degrees): 5.1653 5.5633 5.6273 74.37 84.77 73.67
Closest atoms and distances in Å follow each position.
Atoms (fractional coordinates):
Al: 0.0000 0.0000 0.0000  5 O 1.85-1.98
Mo: 0.5868 0.9422 0.5731  6 O 2.09-2.25
W: 0.3028 0.4685 0.7431  4 O 1.85-2.03
W: 0.8731 0.4289 0.3854  4 O 1.85-2.06
O: 0.2307 0.2046 0.9973  1 W 1.85, 1 Al 1.86
O: 0.2477 0.2597 0.4967  2 W 1.98-2.12, 1 Mo 2.09
O: 0.3087 0.7807 0.8518  1 Al 1.98, 1 W 2.00, 1 Mo 2.21
O: 0.4886 0.6442 0.4407  2 W 2.03-2.06, 1 Mo 2.18
O: 0.7431 0.1954 0.7425  1 Al 1.93
O: 0.8197 0.1345 0.2680  1 Al 1.91, 1 W 2.02
O: 0.8911 0.6992 0.1140  1 Al 1.85, 1 W 1.85
O: 0.9383 0.6360 0.6235  2 W 1.94-2.09, 1 Mo 2.09